{"formula": "ZrPtN3", "functional": "PBE", "state": "relaxed", "sg": "Pm-3m (221)", "cell": [[4.188, 0.000, 0.000], [0.000, 4.188, 0.000], [0.000, 0.000, 4.188]], "species": ["Zr", "Pt", "N", "N", "N"], "fractional_positions": [[0.000, 0.000, 0.000], [0.500, 0.500, 0.500], [0.000, 0.000, 0.500], [0.000, 0.500, 0.000], [0.500, 0.000, 0.000]]}

=====

{"formula": "Zr7Pt2N2", "functional": "PBE", "state": "relaxed", "sg": "C2/m (12)", "cell": [[5.129, -3.445, 0.000], [5.129, 3.445, 0.000], [-0.414, 0.000, 5.771]], "species": ["Zr", "Zr", "Zr", "Zr", "Zr", "Zr", "Zr", "Pt", "Pt", "N", "N"], "fractional_positions": [[0.000, 0.000, 0.000], [0.067, 0.511, 0.763], [0.435, 0.435, 0.222], [0.489, 0.933, 0.237], [0.511, 0.067, 0.763], [0.565, 0.565, 0.778], [0.933, 0.489, 0.237], [0.188, 0.812, 0.500], [0.812, 0.188, 0.500], [0.229, 0.229, 0.025], [0.771, 0.771, 0.975]]}

=====

Number 1: spin magnetization 0.01 μB per formula unit, formation energy without anion corrections 1.37 eV/atom. Number 2: spin magnetization 0.00 μB per formula unit, formation energy without anion corrections -0.79 eV/atom.